# Pa8As5S3 (PBE, optimized geometry)
# - E_form (uncorrected) (meV per atom) = -1260
# - energy (eV for the cell shown) = -395.248
data_Pa8As5S3
_chemical_formula_sum 'Pa24 As15 S9'
_symmetry_space_group_name_H-M 'R -3 m'
_symmetry_Int_Tables_number 166
_symmetry_space_group_name_Hall '-R 3 2"'
_cell_length_a 8.1128
_cell_length_b 8.1128
_cell_length_c 19.3748
_cell_angle_alpha 90.00
_cell_angle_beta 90.00
_cell_angle_gamma 120.00
loop_
_atom_site_label
_atom_site_fract_x
_atom_site_fract_y
_atom_site_fract_z
_atom_site_occupancy
Pa1 0.0000 0.0000 0.2436 1
Pa2 0.0077 0.5039 0.7542 1
As1 0.0000 0.0000 0.0000 1
As2 0.0000 0.0000 0.5000 1
As3 0.0000 0.5000 0.0000 1
S1 0.0000 0.5000 0.5000 1

---

# YTcGe2 (PBE, optimized geometry)
# - relative energy among the computed polymorphs (meV per atom) = 165
# - energy (eV for the cell shown) = -27.466
# - energy relative to the elements (eV/f.u.) = -1.40
data_YTcGe2
_chemical_formula_sum 'Y1 Tc1 Ge2'
_symmetry_space_group_name_H-M 'P 4/m m m'
_symmetry_Int_Tables_number 123
_symmetry_space_group_name_Hall '-P 4 2'
_cell_length_a 3.232
_cell_length_b 3.232
_cell_length_c 6.897
_cell_angle_alpha 90.00
_cell_angle_beta 90.00
_cell_angle_gamma 90.00
loop_
_atom_site_label
_atom_site_fract_x
_atom_site_fract_y
_atom_site_fract_z
_atom_site_occupancy
Y1 0.000 0.000 0.000 1
Tc1 0.000 0.000 0.500 1
Ge1 0.500 0.500 0.299 1

---

# TaZnTc (PBE, optimized geometry)
# - relative energy among the computed polymorphs (meV per atom) = 0
# - energy (eV for the cell shown) = -47.934
# - energy relative to the elements (eV/f.u.) = -0.47
data_TaZnTc
_chemical_formula_sum 'Ta2 Zn2 Tc2'
_symmetry_space_group_name_H-M 'I 4 m m'
_symmetry_Int_Tables_number 107
_symmetry_space_group_name_Hall 'I 4 -2'
_cell_length_a 3.319
_cell_length_b 3.319
_cell_length_c 8.554
_cell_angle_alpha 90.00
_cell_angle_beta 90.00
_cell_angle_gamma 90.00
loop_
_atom_site_label
_atom_site_fract_x
_atom_site_fract_y
_atom_site_fract_z
_atom_site_occupancy
Ta1 0.000 0.000 0.000 1
Zn1 0.000 0.000 0.676 1
Tc1 0.000 0.000 0.345 1

---

# Tc3TeW (PBE, optimized geometry)
# - E_form (uncorrected) (meV per atom) = 2225
# - relative energy among the computed polymorphs (meV per atom) = 561
# - energy (eV for the cell shown) = -36.068
data_Tc3TeW
_chemical_formula_sum 'Tc3 Te1 W1'
_symmetry_space_group_name_H-M 'P m -3 m'
_symmetry_Int_Tables_number 221
_symmetry_space_group_name_Hall '-P 4 2 3'
_cell_length_a 4.693
_cell_length_b 4.693
_cell_length_c 4.693
_cell_angle_alpha 90.00
_cell_angle_beta 90.00
_cell_angle_gamma 90.00
loop_
_atom_site_label
_atom_site_fract_x
_atom_site_fract_y
_atom_site_fract_z
_atom_site_occupancy
Tc1 0.000 0.000 0.500 1
Te1 0.000 0.000 0.000 1
W1 0.500 0.500 0.500 1